Entry 1:
Entry from the Alexandria database: crystalline NbPt2W2 at its relaxed geometry (PBE).

a = 3.769 Å, b = 3.769 Å, c = 12.620 Å
α = 90.00°, β = 90.00°, γ = 90.00°
Element x y z (fractional)
Nb: 0.000 0.000 0.000
Nb: 0.500 0.500 0.500
Pt: 0.000 0.500 0.250
Pt: 0.000 0.500 0.750
Pt: 0.500 0.000 0.250
Pt: 0.500 0.000 0.750
W: 0.000 0.000 0.402
W: 0.000 0.000 0.598
W: 0.500 0.500 0.098
W: 0.500 0.500 0.902

## Properties
**Space-group type**: I4/mmm
**ΔH_f (0 K)**: 0.2865 eV/atom
**Energy above the most stable polymorph in this dataset**: 313 meV per atom
**E**: -9.3250 eV per atom



Entry 2:
Entry from the Alexandria database: crystalline SrLa4Sb5 at its relaxed geometry (PBE).

a = 12.342 Å, b = 12.342 Å, c = 12.342 Å
α = 158.32°, β = 149.13°, γ = 38.04°
Element x y z (fractional)
Sr: 0.000 0.000 0.000
La: 0.201 0.201 0.000
La: 0.401 0.401 0.000
La: 0.599 0.599 0.000
La: 0.799 0.799 0.000
Sb: 0.105 0.605 0.500
Sb: 0.301 0.801 0.500
Sb: 0.500 0.000 0.500
Sb: 0.699 0.199 0.500
Sb: 0.895 0.395 0.500

## Properties
**Space-group type**: Immm
**Energy relative to the elements, uncorrected**: -1.17 eV per atom
**E**: -5.3697 eV per atom



Entry 3:
Entry from the Alexandria database: crystalline CsLiN2F at its relaxed geometry (PBE).

a = 4.981 Å, b = 4.981 Å, c = 5.346 Å
α = 90.00°, β = 90.00°, γ = 90.00°
Element x y z (fractional)
Cs: 0.000 0.000 0.000
Li: 0.500 0.500 0.500
N: 0.000 0.500 0.000
N: 0.500 0.000 0.000
F: 0.000 0.000 0.500

## Properties
**Space-group type**: P4/mmm
**Energy relative to the elements, uncorrected**: 1.24 eV per atom
**Energy above the most stable polymorph in this dataset**: 801 meV per atom
**E**: -3.0210 eV per atom



Entry 4:
Entry from the Alexandria database: crystalline NaGaAs2 at its relaxed geometry (PBE).

a = 3.531 Å, b = 3.531 Å, c = 26.736 Å
α = 90.00°, β = 90.00°, γ = 120.00°
Element x y z (fractional)
Na: 0.000 0.000 0.000
Na: 0.333 0.667 0.667
Na: 0.667 0.333 0.333
Ga: 0.000 0.000 0.500
Ga: 0.333 0.667 0.167
Ga: 0.667 0.333 0.833
As: 0.000 0.000 0.105
As: 0.000 0.000 0.895
As: 0.333 0.667 0.562
As: 0.333 0.667 0.771
As: 0.667 0.333 0.229
As: 0.667 0.333 0.438

## Properties
**Space-group type**: R-3m
**ΔH_f (0 K)**: 0.0644 eV/atom
**E**: -3.3468 eV per atom



Entry 5:
Entry from the Alexandria database: crystalline Sr2Li2Sn3 at its relaxed geometry (PBE).

a = 10.789 Å, b = 10.789 Å, c = 7.728 Å
α = 90.00°, β = 90.00°, γ = 153.77°
Element x y z (fractional)
Sr: 0.055 0.945 0.750
Sr: 0.162 0.838 0.250
Sr: 0.838 0.162 0.750
Sr: 0.945 0.055 0.250
Li: 0.308 0.692 0.062
Li: 0.308 0.692 0.438
Li: 0.692 0.308 0.562
Li: 0.692 0.308 0.938
Sn: 0.221 0.779 0.750
Sn: 0.436 0.564 0.565
Sn: 0.436 0.564 0.935
Sn: 0.564 0.436 0.065
Sn: 0.564 0.436 0.435
Sn: 0.779 0.221 0.250

## Properties
**Space-group type**: Cmcm
**ΔH_f (0 K)**: -0.5346 eV/atom
**Energy above the most stable polymorph in this dataset**: 0 meV per atom
**E**: -3.2774 eV per atom



Entry 6:
Entry from the Alexandria database: crystalline TbDyC at its relaxed geometry (PBE).

a = 12.559 Å, b = 3.602 Å, c = 6.232 Å
α = 90.00°, β = 99.80°, γ = 90.00°
Element x y z (fractional)
Tb: 0.110 0.000 0.371
Tb: 0.390 0.500 0.629
Tb: 0.610 0.500 0.371
Tb: 0.890 0.000 0.629
Dy: 0.109 0.500 0.871
Dy: 0.391 0.000 0.129
Dy: 0.609 0.000 0.871
Dy: 0.891 0.500 0.129
C: 0.000 0.000 0.000
C: 0.000 0.500 0.500
C: 0.500 0.000 0.500
C: 0.500 0.500 0.000

## Properties
**Space-group type**: C2/m
**ΔH_f (0 K)**: -0.2692 eV/atom
**Energy above the most stable polymorph in this dataset**: 0 meV per atom
**E**: -6.4213 eV per atom



> Which value of E does entry 3 give?

-3.0210 eV per atom



> What is the formula in the fourth record?

NaGaAs2